Computed, not measured: a relaxed Sr2YMn2O7 crystal at the GGA+U level of DFT.

The value obtained for the energy is -7.374 eV/atom. The calculated volume is 12.66 Å³/atom. For the spin magnetization, the calculation gives 14.00 μB/cell.

Lattice parameters (Å, degrees): 5.6316 5.5182 10.1445 90.00 105.49 90.00
Element x y z (fractional)
Sr (0.0776, 0.2500, 0.1302)
Sr (0.2535, 0.2500, 0.5005)
Sr (0.7465, 0.7500, 0.4995)
Sr (0.9224, 0.7500, 0.8698)
Y (0.4572, 0.2500, 0.8597)
Y (0.5428, 0.7500, 0.1403)
Mn (0.1487, 0.7500, 0.3028)
Mn (0.3477, 0.7500, 0.7004)
Mn (0.6523, 0.2500, 0.2996)
Mn (0.8513, 0.2500, 0.6972)
O (0.1230, 0.7500, 0.1081)
O (0.1285, 0.0100, 0.7267)
O (0.1285, 0.4900, 0.7267)
O (0.1975, 0.7500, 0.5011)
O (0.4151, 0.5026, 0.3137)
O (0.4151, 0.9974, 0.3137)
O (0.4910, 0.7500, 0.9117)
O (0.5090, 0.2500, 0.0883)
O (0.5849, 0.0026, 0.6863)
O (0.5849, 0.4974, 0.6863)
O (0.8025, 0.2500, 0.4989)
O (0.8715, 0.5100, 0.2733)
O (0.8715, 0.9900, 0.2733)
O (0.8770, 0.2500, 0.8919)